Record 1
The following is a DFT calculation (PBE) of a relaxed structure of Zr2ZnSi3Pt4.

```
Zr2ZnSi3Pt4
1.0
4.070 0.000 0.000
0.000 4.070 0.000
0.000 0.000 10.074
Zr Zn Si Pt
2 1 3 4
Direct
0.000 0.500 0.248
0.500 0.000 0.752
0.000 0.000 0.500
0.000 0.500 0.864
0.500 0.000 0.136
0.500 0.500 0.500
0.000 0.000 0.000
0.000 0.500 0.638
0.500 0.000 0.362
0.500 0.500 0.000
```

DFT total energy ... -6.719 eV/atom
SG ... P-4m2 (115)

---

Record 2
The following is a DFT calculation (PBE) of a relaxed structure of Tb6Ho5.

```
Tb6Ho5
1.0
4.566 -6.472 0.000
4.566 6.472 0.000
-1.914 0.000 5.949
Tb Ho
6 5
Direct
0.046 0.314 0.667
0.170 0.170 0.180
0.314 0.046 0.667
0.686 0.954 0.333
0.830 0.830 0.820
0.954 0.686 0.333
0.241 0.759 0.000
0.372 0.628 0.500
0.500 0.500 0.000
0.628 0.372 0.500
0.759 0.241 0.000
```

Calculated formation energy ... 1.54 eV per formula unit
SG ... C2/m (12)

---

Record 3
The following is a DFT calculation (PBE) of a relaxed structure of YTcSb2Te.

```
YTcSb2Te
1.0
5.011 0.000 0.000
0.000 5.011 0.000
0.000 0.000 5.860
Y Tc Sb Te
1 1 2 1
Direct
0.000 0.000 0.000
0.500 0.500 0.500
0.000 0.500 0.500
0.500 0.000 0.500
0.500 0.500 0.000
```

Excess energy over the best structure of this formula in the dataset ... 0.00 kcal/mol of atoms
SG ... P4/mmm (123)

---

Record 4
The following is a DFT calculation (PBE) of a relaxed structure of BaCoSn2Hg.

```
BaCoSn2Hg
1.0
5.035 0.000 0.000
0.000 5.035 0.000
0.000 0.000 5.233
Ba Co Sn Hg
1 1 2 1
Direct
0.000 0.000 0.000
0.500 0.500 0.500
0.000 0.500 0.500
0.500 0.000 0.500
0.500 0.500 0.000
```

Calculated formation energy ... -1.12 eV per formula unit
SG ... P4/mmm (123)

---

What did the second record say?
The following is a DFT calculation (PBE) of a relaxed structure of Tb6Ho5.

```
Tb6Ho5
1.0
4.566 -6.472 0.000
4.566 6.472 0.000
-1.914 0.000 5.949
Tb Ho
6 5
Direct
0.046 0.314 0.667
0.170 0.170 0.180
0.314 0.046 0.667
0.686 0.954 0.333
0.830 0.830 0.820
0.954 0.686 0.333
0.241 0.759 0.000
0.372 0.628 0.500
0.500 0.500 0.000
0.628 0.372 0.500
0.759 0.241 0.000
```

Calculated formation energy ... 1.54 eV per formula unit
SG ... C2/m (12)